1.
The following is a GGA-PBE calculation of Pm2Ge3PdRh4 after structural relaxation, from Alexandria.

Cell lengths 4.175, 4.175, 10.590 Å; angles 90.00, 90.00, 90.00 degrees
Fractional positions:
Pm1 0.000 0.500 0.246
Pm2 0.500 0.000 0.754
Ge1 0.000 0.000 0.000
Ge2 0.000 0.500 0.625
Ge3 0.500 0.000 0.375
Pd1 0.500 0.500 0.000
Rh1 0.000 0.000 0.500
Rh2 0.000 0.500 0.853
Rh3 0.500 0.000 0.147
Rh4 0.500 0.500 0.500

Values from the calculation:
Energy of formation ... -7.9 eV per formula unit

=====

2.
The following is a GGA-PBE calculation of TmCdCoNi after structural relaxation, from Alexandria.

Cell lengths 4.528, 4.528, 4.528 Å; angles 60.00, 60.00, 60.00 degrees
Fractional positions:
Tm1 0.000 0.000 0.000
Cd1 0.500 0.500 0.500
Co1 0.750 0.750 0.750
Ni1 0.250 0.250 0.250

Values from the calculation:
Energy of formation ... -0.4 eV per formula unit

=====

3.
The following is a GGA-PBE calculation of LiNi2BC after structural relaxation, from Alexandria.

Cell lengths 3.824, 3.824, 3.462 Å; angles 90.00, 90.00, 90.00 degrees
Fractional positions:
Li1 0.000 0.000 0.000
Ni1 0.000 0.500 0.000
Ni2 0.500 0.000 0.000
B1 0.000 0.000 0.500
C1 0.500 0.500 0.500

Values from the calculation:
Energy of formation ... 10.5 eV per formula unit

=====

Copy entry 3 word for word.
The following is a GGA-PBE calculation of LiNi2BC after structural relaxation, from Alexandria.

Cell lengths 3.824, 3.824, 3.462 Å; angles 90.00, 90.00, 90.00 degrees
Fractional positions:
Li1 0.000 0.000 0.000
Ni1 0.000 0.500 0.000
Ni2 0.500 0.000 0.000
B1 0.000 0.000 0.500
C1 0.500 0.500 0.500

Values from the calculation:
Energy of formation ... 10.5 eV per formula unit